(1)
VASP calculation (PBE) on a geometry-optimized TaGaH3 structure.

abc: 3.639 3.639 3.639
angles: 90.00 90.00 90.00
Sites, in units of the cell vectors:
Ta 0.000 0.000 0.000
Ga 0.500 0.500 0.500
H 0.000 0.000 0.500
H 0.000 0.500 0.000
H 0.500 0.000 0.000

Values from the calculation:
final energy: -4.737 eV/atom
space-group type: Pm-3m (221)
density of states at the Fermi level: 0.319 states/eV/atom

***

(2)
VASP calculation (PBE) on a geometry-optimized CeGa12Cu6 structure.

abc: 7.137 7.137 7.137
angles: 104.58 104.58 104.58
Sites, in units of the cell vectors:
Ce 0.000 0.000 0.000
Ga 0.113 0.500 0.887
Ga 0.113 0.887 0.500
Ga 0.146 0.398 0.398
Ga 0.398 0.146 0.398
Ga 0.398 0.398 0.146
Ga 0.500 0.113 0.887
Ga 0.500 0.887 0.113
Ga 0.602 0.602 0.854
Ga 0.602 0.854 0.602
Ga 0.854 0.602 0.602
Ga 0.887 0.113 0.500
Ga 0.887 0.500 0.113
Cu 0.286 0.286 0.714
Cu 0.286 0.714 0.286
Cu 0.286 0.714 0.714
Cu 0.714 0.286 0.286
Cu 0.714 0.286 0.714
Cu 0.714 0.714 0.286

Values from the calculation:
final energy: -3.611 eV/atom
space-group type: R-3m (166)
density of states at the Fermi level: 0.555 states/eV/atom
formation enthalpy at 0 K: -1.77 eV per formula unit

***

(3)
VASP calculation (PBE) on a geometry-optimized CuSbTe2Cl structure.

abc: 5.061 5.061 5.356
angles: 90.00 90.00 90.00
Sites, in units of the cell vectors:
Cu 0.000 0.000 0.000
Sb 0.000 0.000 0.500
Te 0.000 0.500 0.000
Te 0.500 0.000 0.000
Cl 0.500 0.500 0.500

Values from the calculation:
formation energy (no corrections): 319 meV/atom
final energy: -2.951 eV/atom
space-group type: P4/mmm (123)
density of states at the Fermi level: 0.642 states/eV/atom

***

(4)
VASP calculation (PBE) on a geometry-optimized AcGaBiO6 structure.

abc: 5.442 5.442 5.411
angles: 90.00 90.00 120.00
Sites, in units of the cell vectors:
Ac 0.000 0.000 0.000
Ga 0.333 0.667 0.500
Bi 0.667 0.333 0.500
O 0.016 0.378 0.714
O 0.016 0.639 0.286
O 0.361 0.378 0.286
O 0.361 0.984 0.714
O 0.622 0.639 0.714
O 0.622 0.984 0.286

Values from the calculation:
formation energy (no corrections): -1703 meV/atom
final energy: -6.233 eV/atom
space-group type: P312 (149)
density of states at the Fermi level: 0.964 states/eV/atom

***

(5)
VASP calculation (PBE) on a geometry-optimized Ho5RuPb2 structure.

abc: 6.693 6.693 6.693
angles: 115.24 115.24 98.46
Sites, in units of the cell vectors:
Ho 0.000 0.000 0.000
Ho 0.027 0.027 0.510
Ho 0.027 0.518 0.000
Ho 0.518 0.027 0.000
Ho 0.518 0.518 0.490
Ru 0.677 0.677 0.000
Pb 0.026 0.526 0.500
Pb 0.526 0.026 0.500

Values from the calculation:
final energy: -5.200 eV/atom
space-group type: I4mm (107)
density of states at the Fermi level: 0.594 states/eV/atom
formation enthalpy at 0 K: -2.02 eV per formula unit

***

(6)
VASP calculation (PBE) on a geometry-optimized In2TcTe structure.

abc: 3.208 3.208 9.225
angles: 90.00 90.00 90.00
Sites, in units of the cell vectors:
In 0.000 0.000 0.179
In 0.000 0.000 0.821
Tc 0.500 0.500 0.000
Te 0.500 0.500 0.500

Values from the calculation:
formation energy (no corrections): 316 meV/atom
final energy: -4.430 eV/atom
space-group type: P4/mmm (123)
density of states at the Fermi level: 0.827 states/eV/atom

***

(7)
VASP calculation (PBE) on a geometry-optimized LiCaCd2In structure.

abc: 4.965 4.965 5.000
angles: 90.00 90.00 90.00
Sites, in units of the cell vectors:
Li 0.000 0.000 0.000
Ca 0.500 0.500 0.500
Cd 0.000 0.500 0.000
Cd 0.500 0.000 0.000
In 0.000 0.000 0.500

Values from the calculation:
final energy: -1.813 eV/atom
space-group type: P4/mmm (123)
density of states at the Fermi level: 0.541 states/eV/atom
formation enthalpy at 0 K: -0.58 eV per formula unit

***

(8)
VASP calculation (PBE) on a geometry-optimized Ba3PtO5 structure.

abc: 8.282 8.282 8.282
angles: 127.93 127.93 76.73
Sites, in units of the cell vectors:
Ba 0.179 0.679 0.858
Ba 0.250 0.250 0.000
Ba 0.321 0.179 0.500
Ba 0.679 0.821 0.500
Ba 0.750 0.750 0.000
Ba 0.821 0.321 0.142
Pt 0.250 0.750 0.500
Pt 0.750 0.250 0.500
O 0.000 0.000 0.000
O 0.011 0.762 0.500
O 0.238 0.738 0.249
O 0.262 0.511 0.500
O 0.489 0.989 0.751
O 0.500 0.500 0.000
O 0.511 0.011 0.249
O 0.738 0.489 0.500
O 0.762 0.262 0.751
O 0.989 0.238 0.500

Values from the calculation:
formation energy (no corrections): -1789 meV/atom
final energy: -5.856 eV/atom
space-group type: I4/mcm (140)

***

(9)
VASP calculation (PBE) on a geometry-optimized Hg2SbAu2 structure.

abc: 7.828 7.828 3.694
angles: 90.00 90.00 90.00
Sites, in units of the cell vectors:
Hg 0.165 0.335 0.000
Hg 0.335 0.835 0.000
Hg 0.665 0.165 0.000
Hg 0.835 0.665 0.000
Sb 0.000 0.000 0.500
Sb 0.500 0.500 0.500
Au 0.134 0.634 0.500
Au 0.366 0.134 0.500
Au 0.634 0.866 0.500
Au 0.866 0.366 0.500

Values from the calculation:
formation energy (no corrections): 131 meV/atom
final energy: -2.125 eV/atom
space-group type: P4/mbm (127)
density of states at the Fermi level: 0.485 states/eV/atom

***

(10)
VASP calculation (PBE) on a geometry-optimized ZnCoP2 structure.

abc: 3.348 3.348 6.248
angles: 105.41 105.41 60.34
Sites, in units of the cell vectors:
Zn 0.000 0.000 0.000
Co 0.500 0.500 0.500
P 0.231 0.231 0.699
P 0.769 0.769 0.301

Values from the calculation:
final energy: -4.866 eV/atom
space-group type: C2/m (12)
density of states at the Fermi level: 0.341 states/eV/atom
formation enthalpy at 0 K: -0.27 eV per formula unit

***

(11)
VASP calculation (PBE) on a geometry-optimized AcHoErTe3 structure.

abc: 8.713 4.394 10.921
angles: 90.00 107.49 90.00
Sites, in units of the cell vectors:
Ac 0.191 0.250 0.223
Ac 0.809 0.750 0.777
Ho 0.338 0.750 0.904
Ho 0.662 0.250 0.096
Er 0.149 0.250 0.625
Er 0.851 0.750 0.375
Te 0.098 0.250 0.895
Te 0.226 0.750 0.464
Te 0.488 0.750 0.201
Te 0.512 0.250 0.799
Te 0.774 0.250 0.536
Te 0.902 0.750 0.105

Values from the calculation:
formation energy (no corrections): -1246 meV/atom
final energy: -5.025 eV/atom
space-group type: P2_1/m (11)
density of states at the Fermi level: 0.744 states/eV/atom

***

(12)
VASP calculation (PBE) on a geometry-optimized Ta2VGaH structure.

abc: 4.237 4.237 3.709
angles: 90.00 90.00 90.00
Sites, in units of the cell vectors:
Ta 0.000 0.500 0.000
Ta 0.500 0.000 0.000
V 0.000 0.000 0.500
Ga 0.500 0.500 0.500
H 0.000 0.000 0.000

Values from the calculation:
final energy: -7.966 eV/atom
space-group type: P4/mmm (123)
density of states at the Fermi level: 0.773 states/eV/atom

***

(13)
VASP calculation (PBE) on a geometry-optimized CaSm3Dy2S6 structure.

abc: 6.862 6.862 6.910
angles: 99.47 99.47 120.04
Sites, in units of the cell vectors:
Ca 0.000 0.000 0.000
Sm 0.165 0.835 0.500
Sm 0.500 0.500 0.500
Sm 0.835 0.165 0.500
Dy 0.333 0.667 0.000
Dy 0.667 0.333 0.000
S 0.081 0.415 0.242
S 0.255 0.255 0.761
S 0.415 0.081 0.242
S 0.585 0.919 0.758
S 0.745 0.745 0.239
S 0.919 0.585 0.758

Values from the calculation:
formation energy (no corrections): -2025 meV/atom
final energy: -6.203 eV/atom
space-group type: C2/m (12)
density of states at the Fermi level: 0.425 states/eV/atom

***

(14)
VASP calculation (PBE) on a geometry-optimized TlCuOs2 structure.

abc: 2.841 2.841 9.538
angles: 90.00 90.00 119.61
Sites, in units of the cell vectors:
Tl 0.000 0.000 0.000
Cu 0.500 0.500 0.737
Os 0.000 0.000 0.505
Os 0.500 0.500 0.281

Values from the calculation:
final energy: -6.379 eV/atom
space-group type: Cmm2 (35)
density of states at the Fermi level: 1.036 states/eV/atom
formation enthalpy at 0 K: 3.41 eV per formula unit

***

(15)
VASP calculation (PBE) on a geometry-optimized Li2AcPr2In2 structure.

abc: 9.900 9.900 9.900
angles: 29.42 29.42 29.42
Sites, in units of the cell vectors:
Li 0.091 0.091 0.091
Li 0.909 0.909 0.909
Ac 0.500 0.500 0.500
Pr 0.370 0.370 0.370
Pr 0.630 0.630 0.630
In 0.243 0.243 0.243
In 0.757 0.757 0.757

Values from the calculation:
final energy: -3.535 eV/atom
space-group type: R-3m (166)
density of states at the Fermi level: 0.823 states/eV/atom
formation enthalpy at 0 K: -1.78 eV per formula unit

***

(16)
VASP calculation (PBE) on a geometry-optimized As2PtRh structure.

abc: 4.311 4.311 5.316
angles: 101.87 101.87 42.02
Sites, in units of the cell vectors:
As 0.246 0.246 0.241
As 0.754 0.754 0.759
Pt 0.000 0.000 0.500
Rh 0.500 0.500 0.000

Values from the calculation:
final energy: -5.785 eV/atom
space-group type: C2/m (12)
density of states at the Fermi level: 0.811 states/eV/atom
formation enthalpy at 0 K: -0.45 eV per formula unit

***

(17)
VASP calculation (PBE) on a geometry-optimized Na3Ho3AlS8 structure.

abc: 8.102 8.102 8.102
angles: 57.03 57.03 57.03
Sites, in units of the cell vectors:
Na 0.000 0.500 0.500
Na 0.500 0.000 0.500
Na 0.500 0.500 0.000
Ho 0.000 0.000 0.500
Ho 0.000 0.500 0.000
Ho 0.500 0.000 0.000
Al 0.500 0.500 0.500
S 0.243 0.243 0.243
S 0.264 0.723 0.723
S 0.277 0.277 0.736
S 0.277 0.736 0.277
S 0.723 0.264 0.723
S 0.723 0.723 0.264
S 0.736 0.277 0.277
S 0.757 0.757 0.757

Values from the calculation:
formation energy (no corrections): -1552 meV/atom
final energy: -5.182 eV/atom
space-group type: R-3m (166)
density of states at the Fermi level: 0.671 states/eV/atom

***

(18)
VASP calculation (PBE) on a geometry-optimized ScAlRu structure.

abc: 5.138 5.138 5.138
angles: 117.45 114.18 97.43
Sites, in units of the cell vectors:
Sc 0.395 0.145 0.250
Sc 0.605 0.855 0.750
Al 0.000 0.000 0.500
Al 0.000 0.500 0.000
Ru 0.000 0.500 0.500
Ru 0.500 0.500 0.000

Values from the calculation:
final energy: -7.074 eV/atom
space-group type: Imma (74)
density of states at the Fermi level: 0.686 states/eV/atom
formation enthalpy at 0 K: -1.87 eV per formula unit

***

(19)
VASP calculation (PBE) on a geometry-optimized MnAg2Os structure.

abc: 9.697 9.697 9.697
angles: 16.41 16.41 16.41
Sites, in units of the cell vectors:
Mn 0.000 0.000 0.000
Ag 0.251 0.251 0.251
Ag 0.749 0.749 0.749
Os 0.500 0.500 0.500

Values from the calculation:
final energy: -5.982 eV/atom
space-group type: R-3m (166)
density of states at the Fermi level: 0.877 states/eV/atom
formation enthalpy at 0 K: 2.17 eV per formula unit

***

(20)
VASP calculation (PBE) on a geometry-optimized CaTl2Pt structure.

abc: 5.039 5.039 5.039
angles: 60.00 60.00 60.00
Sites, in units of the cell vectors:
Ca 0.000 0.000 0.000
Tl 0.250 0.250 0.250
Tl 0.750 0.750 0.750
Pt 0.500 0.500 0.500

Values from the calculation:
final energy: -3.495 eV/atom
space-group type: Fm-3m (225)
density of states at the Fermi level: 0.349 states/eV/atom
formation enthalpy at 0 K: -1.21 eV per formula unit